8
Lattice="3.3745 0.0000 0.0000 0.0000 3.3745 0.0000 0.0000 0.0000 9.4888" Properties=species:S:1:pos:R:3 comment="TaSiPO PBE relaxed" volume_a3_per_atom=13.5 magmom_total_mub_per_cell=0.04 relative_energy_mev_per_atom=34.0 e_tot_ev_per_atom=-7.677 pbc="T T T"
O 0.0000 0.0000 0.0000
O 1.6873 1.6873 0.0000
P 1.6873 0.0000 2.5042
P 0.0000 1.6873 6.9845
Si 0.0000 0.0000 4.7444
Si 1.6873 1.6873 4.7444
Ta 0.0000 1.6873 1.3519
Ta 1.6873 0.0000 8.1369

8
Lattice="4.0593 0.0000 0.0000 0.0000 4.0593 0.0000 0.0000 0.0000 7.2591" Properties=species:S:1:pos:R:3 comment="TaSiPO PBE relaxed" volume_a3_per_atom=15.0 magmom_total_mub_per_cell=0.01 relative_energy_mev_per_atom=342.9 e_tot_ev_per_atom=-7.368 pbc="T T T"
O 2.0297 0.0000 0.0000
O 0.0000 2.0297 0.0000
P 2.0297 2.0297 2.1583
P 0.0000 0.0000 5.1007
Si 0.0000 0.0000 0.2075
Si 2.0297 2.0297 7.0516
Ta 2.0297 0.0000 3.6295
Ta 0.0000 2.0297 3.6295